1.
A plane-wave DFT calculation with GGA-PBEsol was carried out for NaPmHg2 after structural relaxation.

ΔE_f in meV per atom: -422
E in eV/cell: -37.4

```
data_NaPmHg2
_chemical_formula_sum 'Na4 Pm4 Hg8'
_symmetry_space_group_name_H-M 'F m -3 m'
_symmetry_Int_Tables_number 225
_symmetry_space_group_name_Hall '-F 4 2 3'
_cell_length_a 7.281
_cell_length_b 7.281
_cell_length_c 7.281
_cell_angle_alpha 90.00
_cell_angle_beta 90.00
_cell_angle_gamma 90.00
loop_
_atom_site_label
_atom_site_fract_x
_atom_site_fract_y
_atom_site_fract_z
Na1 0.000 0.000 0.000
Pm1 0.000 0.000 0.500
Hg1 0.250 0.250 0.250
```

---

2.
A plane-wave DFT calculation with GGA-PBEsol was carried out for Ca13Y6F43 after structural relaxation.

ΔE_f (raw) in eV per atom: -4.006
E in eV/cell: -1199.8

```
data_Ca13Y6F43
_chemical_formula_sum 'Ca39 Y18 F129'
_symmetry_space_group_name_H-M 'R 3'
_symmetry_Int_Tables_number 146
_symmetry_space_group_name_Hall 'R 3'
_cell_length_a 16.7792
_cell_length_b 16.7792
_cell_length_c 9.5904
_cell_angle_alpha 90.00
_cell_angle_beta 90.00
_cell_angle_gamma 120.00
loop_
_atom_site_label
_atom_site_fract_x
_atom_site_fract_y
_atom_site_fract_z
Ca1 0.0000 0.0000 0.0000
Ca2 0.0333 0.2737 0.3673
Ca3 0.0709 0.5646 0.7010
Ca4 0.0929 0.6982 0.3585
Ca5 0.1730 0.4017 0.7000
Y1 0.0161 0.1428 0.7112
Y2 0.1448 0.1283 0.3550
F1 0.0000 0.0000 0.6159
F2 0.0151 0.1281 0.3030
F3 0.0189 0.1515 0.9531
F4 0.0316 0.2795 0.6277
F5 0.0367 0.2850 0.1225
F6 0.0636 0.5663 0.9411
F7 0.0694 0.5579 0.4519
F8 0.0769 0.8854 0.5370
F9 0.0797 0.6960 0.1055
F10 0.0906 0.7043 0.6152
F11 0.1063 0.0933 0.8102
F12 0.1349 0.1176 0.1167
F13 0.1679 0.3984 0.4557
F14 0.1800 0.3969 0.9450
F15 0.1927 0.0876 0.5452
```

---

3.
A plane-wave DFT calculation with GGA-PBEsol was carried out for TlCuTcSe2 after structural relaxation.

ΔE_f (raw) in eV per atom: 1.525
E in eV/cell: -18.3

```
data_TlCuTcSe2
_chemical_formula_sum 'Tl1 Cu1 Tc1 Se2'
_symmetry_space_group_name_H-M 'P 4/m m m'
_symmetry_Int_Tables_number 123
_symmetry_space_group_name_Hall '-P 4 2'
_cell_length_a 5.341
_cell_length_b 5.341
_cell_length_c 4.676
_cell_angle_alpha 90.00
_cell_angle_beta 90.00
_cell_angle_gamma 90.00
loop_
_atom_site_label
_atom_site_fract_x
_atom_site_fract_y
_atom_site_fract_z
Tl1 0.000 0.000 0.000
Cu1 0.000 0.000 0.500
Tc1 0.500 0.500 0.500
Se1 0.000 0.500 0.000
```

---

4.
A plane-wave DFT calculation with GGA-PBEsol was carried out for LiLu2Tc after structural relaxation.

ΔE_f in meV per atom: -64
E in eV/cell: -92.9

```
data_LiLu2Tc
_chemical_formula_sum 'Li4 Lu8 Tc4'
_symmetry_space_group_name_H-M 'F m -3 m'
_symmetry_Int_Tables_number 225
_symmetry_space_group_name_Hall '-F 4 2 3'
_cell_length_a 6.731
_cell_length_b 6.731
_cell_length_c 6.731
_cell_angle_alpha 90.00
_cell_angle_beta 90.00
_cell_angle_gamma 90.00
loop_
_atom_site_label
_atom_site_fract_x
_atom_site_fract_y
_atom_site_fract_z
Li1 0.000 0.000 0.000
Lu1 0.250 0.250 0.250
Tc1 0.000 0.000 0.500
```

---

5.
A plane-wave DFT calculation with GGA-PBEsol was carried out for SrTl2Sb after structural relaxation.

ΔE_f (raw) in eV per atom: -0.470
Excess energy over the best structure of this formula in the dataset in meV per atom: 0
E in eV/cell: -13.5

```
data_SrTl2Sb
_chemical_formula_sum 'Sr1 Tl2 Sb1'
_symmetry_space_group_name_H-M 'P 4/m m m'
_symmetry_Int_Tables_number 123
_symmetry_space_group_name_Hall '-P 4 2'
_cell_length_a 4.763
_cell_length_b 4.763
_cell_length_c 5.151
_cell_angle_alpha 90.00
_cell_angle_beta 90.00
_cell_angle_gamma 90.00
loop_
_atom_site_label
_atom_site_fract_x
_atom_site_fract_y
_atom_site_fract_z
Sr1 0.000 0.000 0.000
Tl1 0.000 0.500 0.500
Sb1 0.500 0.500 0.000
```

---

6.
A plane-wave DFT calculation with GGA-PBEsol was carried out for BaGd2O4 after structural relaxation.

ΔE_f (raw) in eV per atom: -3.252
E in eV/cell: -299.2

```
data_BaGd2O4
_chemical_formula_sum 'Ba4 Gd8 O16'
_symmetry_space_group_name_H-M 'P n m a'
_symmetry_Int_Tables_number 62
_symmetry_space_group_name_Hall '-P 2ac 2n'
_cell_length_a 10.421
_cell_length_b 3.497
_cell_length_c 12.178
_cell_angle_alpha 90.00
_cell_angle_beta 90.00
_cell_angle_gamma 90.00
loop_
_atom_site_label
_atom_site_fract_x
_atom_site_fract_y
_atom_site_fract_z
Ba1 0.248 0.250 0.149
Gd1 0.077 0.250 0.389
Gd2 0.077 0.250 0.890
O1 0.017 0.750 0.783
O2 0.070 0.250 0.575
O3 0.118 0.750 0.018
O4 0.211 0.750 0.336
```